[1]
VASP calculation (PBE-GGA) on LiHgB4 after structural relaxation.

Properties
E above lowest polymorph in eV/f.u.: 0.00
Space-group type: Immm

a b c (Å): 4.9556 4.9556 4.9556
angles (deg): 143.86 116.88 74.94
Closest atoms and distances in Å follow each position.
Sites, in units of the cell vectors:
B 0.5912 0.2613 0.3299  3 B 1.76-1.77
B 0.0686 0.7387 0.3299  3 B 1.76-1.77
B 0.4088 0.7387 0.6701  3 B 1.76-1.77
B 0.9315 0.2613 0.6701  3 B 1.76-1.77
Hg 0.5000 0.5000 0.0000  12 B 2.54-2.71
Li 0.0000 0.0000 0.0000  12 B 2.58-2.67

***

[2]
VASP calculation (PBE-GGA) on LiHgB4 after structural relaxation.

Properties
E above lowest polymorph in eV/f.u.: 0.23
Space-group type: P6/mmm

a b c (Å): 3.0657 3.0657 7.5295
angles (deg): 90.00 90.00 120.00
Closest atoms and distances in Å follow each position.
Sites, in units of the cell vectors:
Hg 0.0000 0.0000 0.5000  12 B 2.81, 6 Hg 3.07
B 0.3333 0.6667 0.2104  3 B 1.77
B 0.3333 0.6667 0.7896  3 B 1.77
B 0.6667 0.3333 0.7896  3 B 1.77
B 0.6667 0.3333 0.2104  3 B 1.77
Li 0.0000 0.0000 0.0000  12 B 2.38

***

[3]
VASP calculation (PBE-GGA) on LiHgB4 after structural relaxation.

Properties
E above lowest polymorph in eV/f.u.: 0.23
Space-group type: P6/mmm

a b c (Å): 3.0590 3.0590 7.5490
angles (deg): 90.00 90.00 120.00
Closest atoms and distances in Å follow each position.
Sites, in units of the cell vectors:
B 0.6667 0.3333 0.2903  3 B 1.77
B 0.3333 0.6667 0.2903  3 B 1.77
B 0.3333 0.6667 0.7097  3 B 1.77
B 0.6667 0.3333 0.7097  3 B 1.77
Li 0.0000 0.0000 0.5000  12 B 2.37
Hg 0.0000 0.0000 0.0000  12 B 2.81, 6 Hg 3.06

***

Repeat the third record exactly.
VASP calculation (PBE-GGA) on LiHgB4 after structural relaxation.

Properties
E above lowest polymorph in eV/f.u.: 0.23
Space-group type: P6/mmm

a b c (Å): 3.0590 3.0590 7.5490
angles (deg): 90.00 90.00 120.00
Closest atoms and distances in Å follow each position.
Sites, in units of the cell vectors:
B 0.6667 0.3333 0.2903  3 B 1.77
B 0.3333 0.6667 0.2903  3 B 1.77
B 0.3333 0.6667 0.7097  3 B 1.77
B 0.6667 0.3333 0.7097  3 B 1.77
Li 0.0000 0.0000 0.5000  12 B 2.37
Hg 0.0000 0.0000 0.0000  12 B 2.81, 6 Hg 3.06

***

Repeat the second record exactly.
VASP calculation (PBE-GGA) on LiHgB4 after structural relaxation.

Properties
E above lowest polymorph in eV/f.u.: 0.23
Space-group type: P6/mmm

a b c (Å): 3.0657 3.0657 7.5295
angles (deg): 90.00 90.00 120.00
Closest atoms and distances in Å follow each position.
Sites, in units of the cell vectors:
Hg 0.0000 0.0000 0.5000  12 B 2.81, 6 Hg 3.07
B 0.3333 0.6667 0.2104  3 B 1.77
B 0.3333 0.6667 0.7896  3 B 1.77
B 0.6667 0.3333 0.7896  3 B 1.77
B 0.6667 0.3333 0.2104  3 B 1.77
Li 0.0000 0.0000 0.0000  12 B 2.38